No. 1
Entry from Alexandria: crystalline Sb2TePd at its relaxed geometry (PBE).

Cell lengths 4.1651, 4.1651, 20.5766 Å; angles 90.00, 90.00, 120.00 degrees
Space group R-3m (No. 166, hexagonal axes)
Unique sites:
Sb 0.0000 0.0000 0.2320 x6
Te 0.0000 0.0000 0.0000 x3
Pd 0.0000 0.0000 0.5000 x3

Summary:
The size of the total moment comes out at 0.00 μB per cell. For the total energy, the calculation gives -17.28 eV per formula unit. As for the formation energy from raw total energies: -0.176 eV per atom. Its density of states at the Fermi level is 0.5189 states/eV/atom. The theoretical density comes out at 7.70 g cm⁻³.



No. 2
Entry from Alexandria: crystalline Sb2TePd at its relaxed geometry (PBE).

Cell lengths 6.421, 6.421, 12.907 Å; angles 90.00, 90.00, 90.00 degrees
Space group I-42d (No. 122)
Unique sites:
Sb 0.189 0.250 0.125 x8
Te 0.000 0.000 0.500 x4
Pd 0.000 0.000 0.000 x4

Summary:
The size of the total moment comes out at 0.00 μB per cell. For the total energy, the calculation gives -16.60 eV per formula unit. As for the formation energy from raw total energies: -0.004 eV per atom. Its density of states at the Fermi level is 0.1453 states/eV/atom. The theoretical density comes out at 5.96 g cm⁻³.



No. 3
Entry from Alexandria: crystalline Sb2Te4Pd3 at its relaxed geometry (PBE).

Cell lengths 6.645, 6.657, 19.987 Å; angles 89.88, 89.80, 89.88 degrees
Space group P1 (No. 1)
Unique sites:
Sb 0.000 0.000 0.000 x1
Sb 0.000 0.000 0.333 x1
Sb 0.001 0.001 0.667 x1
Sb 0.502 0.242 0.418 x1
Sb 0.504 0.242 0.752 x1
Sb 0.504 0.244 0.085 x1
Sb 0.746 0.495 0.254 x1
Sb 0.746 0.495 0.920 x1
Te 0.000 0.247 0.168 x1
Te 0.001 0.246 0.834 x1
Te 0.006 0.243 0.500 x1
Te 0.245 0.742 0.167 x1
Te 0.246 0.745 0.499 x1
Te 0.247 0.742 0.834 x1
Te 0.250 0.497 0.001 x1
Te 0.250 0.497 0.334 x1
Te 0.252 0.497 0.668 x1
Te 0.505 0.000 0.587 x1
Te 0.505 0.000 0.921 x1
Te 0.505 0.001 0.253 x1
Te 0.745 0.496 0.587 x1
Te 0.750 0.746 0.085 x1
Te 0.750 0.747 0.752 x1
Te 0.751 0.746 0.419 x1
Pd 0.371 0.875 0.710 x1
Pd 0.372 0.876 0.044 x1
Pd 0.373 0.875 0.376 x1
Pd 0.377 0.370 0.542 x1
Pd 0.379 0.369 0.876 x1
Pd 0.380 0.371 0.208 x1
Pd 0.872 0.368 0.042 x1
Pd 0.872 0.368 0.376 x1
Pd 0.873 0.368 0.710 x1
Pd 0.874 0.868 0.211 x1
Pd 0.876 0.868 0.878 x1
Pd 0.876 0.871 0.545 x1

Summary:
The size of the total moment comes out at 0.00 μB per cell. For the total energy, the calculation gives -39.46 eV per formula unit. As for the formation energy from raw total energies: -0.341 eV per atom. Its density of states at the Fermi level is 0.4616 states/eV/atom. The theoretical density comes out at 8.06 g cm⁻³.



No. 4
Entry from Alexandria: crystalline Sb4TePd15 at its relaxed geometry (PBE).

Cell lengths 4.058, 4.058, 20.444 Å; angles 90.00, 90.00, 90.00 degrees
Space group P4/mmm (No. 123)
Unique sites:
Sb 0.000 0.000 0.100 x2
Sb 0.000 0.000 0.301 x2
Te 0.000 0.000 0.500 x1
Pd 0.000 0.500 0.000 x2
Pd 0.000 0.500 0.198 x4
Pd 0.000 0.500 0.394 x4
Pd 0.500 0.500 0.098 x2
Pd 0.500 0.500 0.295 x2
Pd 0.500 0.500 0.500 x1

Summary:
The size of the total moment comes out at 0.00 μB per cell. For the total energy, the calculation gives -104.00 eV per formula unit. As for the formation energy from raw total energies: -0.324 eV per atom. Its density of states at the Fermi level is 0.8233 states/eV/atom. The theoretical density comes out at 10.90 g cm⁻³.



No. 5
Entry from Alexandria: crystalline Sb2Te2Pd5 at its relaxed geometry (PBE).

Cell lengths 13.007, 4.131, 8.813 Å; angles 90.00, 123.29, 90.00 degrees
Space group C2/m (No. 12)
Unique sites:
Sb 0.149 0.000 0.024 x4
Te 0.140 0.500 0.514 x4
Pd 0.000 0.500 0.000 x2
Pd 0.091 0.000 0.287 x4
Pd 0.099 0.500 0.784 x4

Summary:
The size of the total moment comes out at 0.00 μB per cell. For the total energy, the calculation gives -43.51 eV per formula unit. As for the formation energy from raw total energies: -0.336 eV per atom. Its density of states at the Fermi level is 0.5765 states/eV/atom. The theoretical density comes out at 8.65 g cm⁻³.



No. 6
Entry from Alexandria: crystalline SbTe2Pd2 at its relaxed geometry (PBE).

Cell lengths 7.732, 3.964, 8.263 Å; angles 90.00, 111.73, 90.00 degrees
Space group C2/m (No. 12)
Unique sites:
Sb 0.000 0.000 0.000 x2
Te 0.248 0.500 0.348 x4
Pd 0.127 0.500 0.828 x4

Summary:
The size of the total moment comes out at 0.00 μB per cell. For the total energy, the calculation gives -22.21 eV per formula unit. As for the formation energy from raw total energies: -0.284 eV per atom. Its density of states at the Fermi level is 0.3860 states/eV/atom. The theoretical density comes out at 8.33 g cm⁻³.



No. 7
Entry from Alexandria: crystalline SbTe2Pd2 at its relaxed geometry (PBE).

Cell lengths 8.548, 5.158, 11.473 Å; angles 90.00, 90.00, 90.00 degrees
Space group Pnma (No. 62)
Unique sites:
Sb 0.195 0.250 0.095 x4
Te 0.055 0.750 0.178 x4
Te 0.130 0.250 0.395 x4
Pd 0.098 0.750 0.772 x4
Pd 0.245 0.750 0.367 x4

Summary:
The size of the total moment comes out at 0.00 μB per cell. For the total energy, the calculation gives -21.89 eV per formula unit. As for the formation energy from raw total energies: -0.220 eV per atom. Its density of states at the Fermi level is 0.6502 states/eV/atom. The theoretical density comes out at 7.74 g cm⁻³.



No. 8
Entry from Alexandria: crystalline TiSb2TePd at its relaxed geometry (PBE).

Cell lengths 5.211, 5.211, 5.212 Å; angles 90.00, 90.00, 90.00 degrees
Space group P4/mmm (No. 123)
Unique sites:
Ti 0.000 0.000 0.000 x1
Sb 0.000 0.500 0.000 x2
Te 0.000 0.000 0.500 x1
Pd 0.500 0.500 0.500 x1

Summary:
The size of the total moment comes out at 0.00 μB per cell. For the total energy, the calculation gives -22.77 eV per formula unit. As for the formation energy from raw total energies: 0.341 eV per atom. Its density of states at the Fermi level is 0.6894 states/eV/atom. The theoretical density comes out at 6.17 g cm⁻³.



No. 9
Entry from Alexandria: crystalline TiSb2TePd at its relaxed geometry (PBE).

Cell lengths 5.135, 5.135, 5.319 Å; angles 90.00, 90.00, 90.00 degrees
Space group P4/mmm (No. 123)
Unique sites:
Ti 0.000 0.000 0.000 x1
Sb 0.000 0.500 0.500 x2
Te 0.500 0.500 0.000 x1
Pd 0.500 0.500 0.500 x1

Summary:
The size of the total moment comes out at 0.06 μB per cell. For the total energy, the calculation gives -21.69 eV per formula unit. As for the formation energy from raw total energies: 0.558 eV per atom. Its density of states at the Fermi level is 1.4426 states/eV/atom. The theoretical density comes out at 6.22 g cm⁻³.



No. 10
Entry from Alexandria: crystalline TlSbTe2Pd at its relaxed geometry (PBE).

Cell lengths 5.578, 5.578, 5.085 Å; angles 90.00, 90.00, 90.00 degrees
Space group P4/mmm (No. 123)
Unique sites:
Tl 0.000 0.000 0.000 x1
Sb 0.500 0.500 0.000 x1
Te 0.000 0.500 0.500 x2
Pd 0.500 0.500 0.500 x1

Summary:
The size of the total moment comes out at 0.00 μB per cell. For the total energy, the calculation gives -17.47 eV per formula unit. As for the formation energy from raw total energies: 0.100 eV per atom. Its density of states at the Fermi level is 0.8580 states/eV/atom. The theoretical density comes out at 7.22 g cm⁻³.



> What is the formula in the tenth record?

TlSbTe2Pd